Record 1
Below is an optimized crystal structure of GaIBrN2, with properties calculated at the PBE level.

Lattice parameters (Å, degrees): 4.280 4.280 8.211 90.00 90.00 90.00
Last column: magnetic moment on the atom in μB.
Element x y z (fractional)
I (0.000, 0.000, 0.500)  0.00
Br (0.000, 0.000, 0.000)  0.06
N (0.000, 0.500, 0.000)  1.00
N (0.500, 0.000, 0.000)  1.00
Ga (0.500, 0.500, 0.500)  0.00

Properties
- Fermi-level density of states: 0.513 states/eV/atom
- Electronic total energy: -2.768 eV/atom

Record 2
Below is an optimized crystal structure of GaIBrN2, with properties calculated at the PBE level.

Lattice parameters (Å, degrees): 4.056 4.056 7.428 90.00 90.00 90.00
Last column: magnetic moment on the atom in μB.
Element x y z (fractional)
N (0.500, 0.000, 0.000)  1.04
N (0.000, 0.500, 0.000)  1.04
Ga (0.000, 0.000, 0.000)  -0.06
Br (0.500, 0.500, 0.500)  0.00
I (0.000, 0.000, 0.500)  0.00

Properties
- Fermi-level density of states: 0.353 states/eV/atom
- Electronic total energy: -3.241 eV/atom

Record 3
Below is an optimized crystal structure of Nd6Ga2I3Br, with properties calculated at the PBE level.

Lattice parameters (Å, degrees): 7.545 7.545 8.096 98.91 98.91 120.06
Element x y z (fractional)
I (0.835, 0.165, 0.500)
I (0.500, 0.500, 0.500)
I (0.165, 0.835, 0.500)
Nd (0.280, 0.280, 0.797)
Nd (0.415, 0.069, 0.206)
Nd (0.931, 0.585, 0.794)
Nd (0.069, 0.415, 0.206)
Nd (0.585, 0.931, 0.794)
Nd (0.720, 0.720, 0.203)
Br (0.000, 0.000, 0.000)
Ga (0.667, 0.333, 0.000)
Ga (0.333, 0.667, 0.000)

Properties
- Fermi-level density of states: 0.539 states/eV/atom
- Electronic total energy: -4.297 eV/atom

Record 4
Below is an optimized crystal structure of Nd8Ga3I4Br, with properties calculated at the PBE level.

Lattice parameters (Å, degrees): 8.768 9.158 8.768 118.59 120.00 90.00
Element x y z (fractional)
Nd (0.735, 0.704, 0.469)
Nd (0.242, 0.705, 0.485)
Nd (0.280, 0.295, 0.038)
Nd (0.758, 0.295, 0.038)
Nd (0.720, 0.705, 0.962)
Nd (0.265, 0.296, 0.531)
Nd (0.242, 0.705, 0.962)
Nd (0.758, 0.295, 0.515)
I (0.000, 0.000, 0.000)
I (0.500, 0.000, 0.000)
I (0.500, 0.000, 0.500)
I (0.000, 0.000, 0.500)
Ga (0.500, 0.500, 0.000)
Ga (0.000, 0.500, 0.500)
Ga (0.500, 0.500, 0.500)
Br (0.000, 0.500, 0.000)

Properties
- Fermi-level density of states: 0.521 states/eV/atom
- Electronic total energy: -4.298 eV/atom

Record 5
Below is an optimized crystal structure of Nd4GaI2Br, with properties calculated at the PBE level.

Lattice parameters (Å, degrees): 4.431 7.331 8.152 108.97 90.00 90.00
Element x y z (fractional)
I (0.500, 0.000, 0.500)
I (0.000, 0.500, 0.500)
Br (0.000, 0.000, 0.000)
Nd (0.500, 0.242, 0.201)
Nd (0.000, 0.275, 0.797)
Nd (0.000, 0.725, 0.203)
Nd (0.500, 0.758, 0.799)
Ga (0.500, 0.500, 0.000)

Properties
- Fermi-level density of states: 0.586 states/eV/atom
- Electronic total energy: -4.251 eV/atom

Record 6
Below is an optimized crystal structure of GaNiIBr2, with properties calculated at the PBE level.

Lattice parameters (Å, degrees): 4.783 5.750 4.783 90.00 90.00 90.00
Element x y z (fractional)
Ga (0.000, 0.500, 0.000)
Ni (0.000, 0.000, 0.000)
Br (0.000, 0.000, 0.500)
Br (0.500, 0.000, 0.000)
I (0.500, 0.500, 0.500)

Properties
- Fermi-level density of states: 1.598 states/eV/atom
- Electronic total energy: -2.774 eV/atom

Record 7
Below is an optimized crystal structure of GaI2BrO, with properties calculated at the PBE level.

Lattice parameters (Å, degrees): 6.133 6.133 3.509 90.00 90.00 90.00
Element x y z (fractional)
Br (0.500, 0.500, 0.500)
I (0.500, 0.000, 0.000)
I (0.000, 0.500, 0.000)
Ga (0.000, 0.000, 0.000)
O (0.000, 0.000, 0.500)

Properties
- Fermi-level density of states: 0.925 states/eV/atom
- Electronic total energy: -2.788 eV/atom

Record 8
Below is an optimized crystal structure of GaIBrO2, with properties calculated at the PBE level.

Lattice parameters (Å, degrees): 3.952 3.952 6.638 90.00 90.00 90.00
Last column: magnetic moment on the atom in μB.
Element x y z (fractional)
O (0.500, 0.000, 0.000)  0.40
O (0.000, 0.500, 0.000)  0.40
I (0.000, 0.000, 0.500)  0.00
Br (0.500, 0.500, 0.500)  0.00
Ga (0.000, 0.000, 0.000)  -0.04

Properties
- Fermi-level density of states: 0.367 states/eV/atom
- Electronic total energy: -3.417 eV/atom

Record 9
Below is an optimized crystal structure of GaIBrO2, with properties calculated at the PBE level.

Lattice parameters (Å, degrees): 4.053 4.053 7.450 90.00 90.00 90.00
Element x y z (fractional)
O (0.500, 0.000, 0.000)
O (0.000, 0.500, 0.000)
I (0.000, 0.000, 0.500)
Br (0.000, 0.000, 0.000)
Ga (0.500, 0.500, 0.500)

Properties
- Fermi-level density of states: 0.603 states/eV/atom
- Electronic total energy: -2.813 eV/atom

Record 10
Below is an optimized crystal structure of GaI2BrO, with properties calculated at the PBE level.

Lattice parameters (Å, degrees): 6.045 6.045 4.049 90.00 90.00 90.00
Element x y z (fractional)
O (0.000, 0.000, 0.500)
I (0.500, 0.000, 0.000)
I (0.000, 0.500, 0.000)
Ga (0.500, 0.500, 0.500)
Br (0.000, 0.000, 0.000)

Properties
- Fermi-level density of states: 0.573 states/eV/atom
- Electronic total energy: -2.245 eV/atom

Record 11
Below is an optimized crystal structure of PaGa3I6Br2, with properties calculated at the PBE level.

Lattice parameters (Å, degrees): 7.248 8.795 9.379 117.96 100.18 90.00
Last column: magnetic moment on the atom in μB.
Element x y z (fractional)
Ga (0.500, 0.000, 0.500)  0.00
Ga (0.500, 0.500, 0.500)  0.00
Ga (0.000, 0.500, 0.000)  0.00
I (0.735, 0.858, 0.193)  0.00
I (0.260, 0.125, 0.250)  0.00
I (0.740, 0.875, 0.750)  0.00
I (0.265, 0.665, 0.807)  0.00
I (0.735, 0.335, 0.193)  0.00
I (0.265, 0.142, 0.807)  0.00
Br (0.737, 0.340, 0.680)  0.00
Br (0.263, 0.660, 0.320)  0.00
Pa (0.500, 0.000, 0.000)  0.13

Properties
- Fermi-level density of states: 0.031 states/eV/atom
- Electronic total energy: -3.279 eV/atom

Record 12
Below is an optimized crystal structure of PaGa3I2Br6, with properties calculated at the PBE level.

Lattice parameters (Å, degrees): 6.713 8.852 9.132 119.02 90.00 89.98
Last column: magnetic moment on the atom in μB.
Element x y z (fractional)
Br (0.270, 0.142, 0.284)  0.00
Br (0.271, 0.144, 0.852)  0.00
Br (0.730, 0.858, 0.716)  0.00
Br (0.729, 0.292, 0.148)  0.00
Br (0.729, 0.856, 0.148)  0.00
Br (0.271, 0.708, 0.852)  0.00
I (0.782, 0.329, 0.658)  0.00
I (0.218, 0.671, 0.342)  0.00
Ga (0.000, 0.500, 0.000)  0.00
Ga (0.500, 0.500, 0.500)  0.00
Ga (0.500, 0.000, 0.500)  0.00
Pa (0.500, 0.000, 0.000)  0.15

Properties
- Fermi-level density of states: 0.285 states/eV/atom
- Electronic total energy: -3.531 eV/atom

Record 13
Below is an optimized crystal structure of Ga2PbI2Br2, with properties calculated at the PBE level.

Lattice parameters (Å, degrees): 4.499 8.136 8.781 62.19 90.13 74.07
Element x y z (fractional)
I (0.531, 0.935, 0.765)
I (0.469, 0.065, 0.235)
Br (0.213, 0.573, 0.290)
Br (0.787, 0.427, 0.710)
Pb (0.000, 0.000, 0.000)
Ga (0.142, 0.719, 0.544)
Ga (0.858, 0.281, 0.456)

Properties
- Fermi-level density of states: 0.000 states/eV/atom
- Electronic total energy: -2.887 eV/atom

Record 14
Below is an optimized crystal structure of Ga2PbI2Br6, with properties calculated at the PBE level.

Lattice parameters (Å, degrees): 6.990 6.990 12.582 90.00 90.00 120.00
Element x y z (fractional)
Br (0.002, 0.644, 0.856)
Br (0.642, 0.998, 0.856)
Br (0.356, 0.358, 0.856)
Br (0.644, 0.642, 0.144)
Br (0.358, 0.002, 0.144)
Br (0.998, 0.356, 0.144)
Ga (0.333, 0.667, 0.784)
Ga (0.667, 0.333, 0.216)
I (0.667, 0.333, 0.414)
I (0.333, 0.667, 0.586)
Pb (0.000, 0.000, 0.000)

Properties
- Fermi-level density of states: 0.000 states/eV/atom
- Electronic total energy: -2.839 eV/atom

Record 15
Below is an optimized crystal structure of Ga2PbI6Br2, with properties calculated at the PBE level.

Lattice parameters (Å, degrees): 7.552 7.552 10.705 90.00 90.00 120.00
Element x y z (fractional)
I (0.003, 0.351, 0.181)
I (0.652, 0.003, 0.819)
I (0.348, 0.997, 0.181)
I (0.351, 0.348, 0.819)
I (0.649, 0.652, 0.181)
I (0.997, 0.649, 0.819)
Ga (0.333, 0.667, 0.738)
Ga (0.667, 0.333, 0.262)
Br (0.333, 0.667, 0.523)
Br (0.667, 0.333, 0.477)
Pb (0.000, 0.000, 0.000)

Properties
- Fermi-level density of states: 0.000 states/eV/atom
- Electronic total energy: -2.624 eV/atom

Record 16
Below is an optimized crystal structure of GaPdI2Br, with properties calculated at the PBE level.

Lattice parameters (Å, degrees): 5.509 5.052 5.509 90.00 90.00 90.00
Element x y z (fractional)
I (0.500, 0.000, 0.000)
I (0.000, 0.000, 0.500)
Pd (0.000, 0.000, 0.000)
Br (0.500, 0.500, 0.500)
Ga (0.000, 0.500, 0.000)

Properties
- Fermi-level density of states: 1.590 states/eV/atom
- Electronic total energy: -2.624 eV/atom

Record 17
Below is an optimized crystal structure of RbGaIBr2, with properties calculated at the PBE level.

Lattice parameters (Å, degrees): 5.512 5.512 5.801 90.00 90.00 90.00
Element x y z (fractional)
I (0.000, 0.000, 0.500)
Br (0.000, 0.500, 0.000)
Br (0.500, 0.000, 0.000)
Rb (0.500, 0.500, 0.500)
Ga (0.000, 0.000, 0.000)

Properties
- Fermi-level density of states: 0.317 states/eV/atom
- Electronic total energy: -2.769 eV/atom

Record 18
Below is an optimized crystal structure of RbGaIBr, with properties calculated at the PBE level.

Lattice parameters (Å, degrees): 5.875 5.875 5.875 60.00 60.00 60.00
Element x y z (fractional)
Rb (0.000, 0.000, 0.000)
I (0.250, 0.250, 0.250)
Ga (0.500, 0.500, 0.500)
Br (0.750, 0.750, 0.750)

Properties
- Fermi-level density of states: 0.000 states/eV/atom
- Electronic total energy: -2.726 eV/atom

Record 19
Below is an optimized crystal structure of RbGaIBr, with properties calculated at the PBE level.

Lattice parameters (Å, degrees): 4.756 4.757 8.728 90.00 105.81 120.01
Element x y z (fractional)
Br (0.955, 0.376, 0.346)
I (0.324, 0.560, 0.900)
Rb (0.457, 0.126, 0.599)
Ga (0.141, 0.969, 0.125)

Properties
- Fermi-level density of states: 0.000 states/eV/atom
- Electronic total energy: -2.792 eV/atom

Record 20
Below is an optimized crystal structure of Rb2GaIBr6, with properties calculated at the PBE level.

Lattice parameters (Å, degrees): 7.952 7.952 8.240 61.15 61.15 90.00
Element x y z (fractional)
Rb (0.250, 0.750, 0.500)
Rb (0.750, 0.250, 0.500)
Br (0.732, 0.268, 0.000)
Br (0.287, 0.287, 0.425)
Br (0.268, 0.268, 0.000)
Br (0.732, 0.732, 0.000)
Br (0.713, 0.713, 0.575)
Br (0.268, 0.732, 0.000)
Ga (0.500, 0.500, 0.000)
I (0.000, 0.000, 0.000)

Properties
- Fermi-level density of states: 0.601 states/eV/atom
- Electronic total energy: -2.538 eV/atom